Entry 1:
Density functional theory data (PBE) for a relaxed structure of CrNi4W.

Cell lengths 3.9676, 6.0595, 6.0595 Å; angles 103.72, 90.00, 90.00 degrees
Closest atoms and distances in Å follow each position.
Sites, in units of the cell vectors:
W (0.7500, 0.6729, 0.3271)  12 Ni 2.49-2.75, 1 Cr 2.53
Cr (0.7500, 0.9386, 0.0614)  2 Cr 2.30, 2 Ni 2.41, 1 W 2.53
Ni (0.7498, 0.3440, 0.9897)  5 Ni 2.43-2.61, 1 W 2.49, 3 Cr 2.59
Ni (0.7502, 0.6099, 0.7460)  6 Ni 2.37-2.61, 1 Cr 2.41, 2 W 2.59
Ni (0.2498, 0.3901, 0.2540)  6 Ni 2.37-2.61, 1 Cr 2.41, 2 W 2.59
Ni (0.2502, 0.6560, 0.0103)  5 Ni 2.43-2.61, 1 W 2.49, 3 Cr 2.59
W (0.2500, 0.3271, 0.6729)  12 Ni 2.49-2.75, 1 Cr 2.53
Ni (0.7502, 0.0103, 0.6560)  5 Ni 2.43-2.61, 1 W 2.49, 3 Cr 2.59
Ni (0.7498, 0.2540, 0.3901)  6 Ni 2.37-2.61, 1 Cr 2.41, 2 W 2.59
Ni (0.2502, 0.7460, 0.6099)  6 Ni 2.37-2.61, 1 Cr 2.41, 2 W 2.59
Ni (0.2498, 0.9897, 0.3440)  5 Ni 2.43-2.61, 1 W 2.49, 3 Cr 2.59
Cr (0.2500, 0.0614, 0.9386)  2 Cr 2.30, 2 Ni 2.41, 1 W 2.53

Properties
E_form = 0.24 eV per formula unit
Spin magnetization = 0.000 μB/atom
Space group = No. 63


Entry 2:
Density functional theory data (PBE) for a relaxed structure of SeF.

Cell lengths 3.0456, 3.0456, 8.5926 Å; angles 90.00, 90.00, 120.00 degrees
Closest atoms and distances in Å follow each position.
Sites, in units of the cell vectors:
F (0.3333, 0.6667, 0.4331)  1 Se 1.85
Se (0.6667, 0.3333, 0.1489)  1 F 1.85
Se (0.3333, 0.6667, 0.6489)  1 F 1.85
F (0.6667, 0.3333, 0.9331)  1 Se 1.85

Properties
Spin magnetization = 0.000 μB/atom
Formation energy without anion corrections = -0.564 eV per atom
Space group = No. 186


Entry 3:
Density functional theory data (PBE) for a relaxed structure of TlCd2Hg5.

Cell lengths 7.9365, 7.9365, 8.8031 Å; angles 116.79, 116.79, 90.00 degrees
Closest atoms and distances in Å follow each position.
Sites, in units of the cell vectors:
Hg (0.0000, 0.0000, 0.0000)  4 Cd 3.04, 2 Tl 3.39
Cd (0.8540, 0.6460, 0.0000)  8 Hg 3.04-3.18, 1 Cd 3.28
Hg (0.3073, 0.8073, 0.3174)  3 Cd 3.15-3.18, 2 Tl 3.27, 4 Hg 3.34-3.42
Hg (0.1927, 0.9899, 0.6826)  3 Cd 3.15-3.18, 2 Tl 3.27, 4 Hg 3.34-3.42
Hg (0.5000, 0.5000, 0.0000)  4 Cd 3.04, 2 Tl 3.39
Hg (0.9899, 0.4899, 0.6826)  3 Cd 3.15-3.18, 2 Tl 3.27, 4 Hg 3.34-3.42
Hg (0.8073, 0.0101, 0.3174)  3 Cd 3.15-3.18, 2 Tl 3.27, 4 Hg 3.34-3.42
Hg (0.4899, 0.6927, 0.6826)  3 Cd 3.15-3.18, 2 Tl 3.27, 4 Hg 3.34-3.42
Tl (0.7500, 0.7500, 0.5000)  10 Hg 3.27-3.39
Cd (0.3540, 0.8540, 0.0000)  8 Hg 3.04-3.18, 1 Cd 3.28
Hg (0.6927, 0.1927, 0.6826)  3 Cd 3.15-3.18, 2 Tl 3.27, 4 Hg 3.34-3.42
Hg (0.5101, 0.3073, 0.3174)  3 Cd 3.15-3.18, 2 Tl 3.27, 4 Hg 3.34-3.42
Hg (0.0101, 0.5101, 0.3174)  3 Cd 3.15-3.18, 2 Tl 3.27, 4 Hg 3.34-3.42
Tl (0.2500, 0.2500, 0.5000)  10 Hg 3.27-3.39
Cd (0.1460, 0.3540, 0.0000)  8 Hg 3.04-3.18, 1 Cd 3.28
Cd (0.6460, 0.1460, 0.0000)  8 Hg 3.04-3.18, 1 Cd 3.28

Properties
E_form = 0.14 eV per formula unit
Spin magnetization = 0.000 μB/atom
Space group = No. 140


Entry 4:
Density functional theory data (PBE) for a relaxed structure of K2CeCl5.

Cell lengths 8.1567, 8.8563, 13.0400 Å; angles 90.00, 90.00, 90.00 degrees
Closest atoms and distances in Å follow each position.
Sites, in units of the cell vectors:
Cl (0.5794, 0.7500, 0.0095)  1 Ce 2.83
Cl (0.0794, 0.2500, 0.4905)  1 Ce 2.83
Cl (0.4206, 0.2500, 0.9905)  1 Ce 2.83
Cl (0.9206, 0.7500, 0.5095)  1 Ce 2.83
Ce (0.9259, 0.7500, 0.0048)  7 Cl 2.79-2.88
Ce (0.0741, 0.2500, 0.9952)  7 Cl 2.79-2.88
K (0.5437, 0.4970, 0.8275)  8 Cl 3.21-3.45
Cl (0.1300, 0.7500, 0.1768)  1 Ce 2.79
K (0.9563, 0.4970, 0.3275)  8 Cl 3.21-3.45
Cl (0.8700, 0.2500, 0.8232)  1 Ce 2.79
Cl (0.6610, 0.4579, 0.5802)  2 Ce 2.86-2.88
Cl (0.6610, 0.0421, 0.5802)  2 Ce 2.86-2.88
Cl (0.1676, 0.2500, 0.2025)  1 Ce 2.81
Cl (0.8390, 0.4579, 0.0802)  2 Ce 2.86-2.88
Cl (0.6300, 0.2500, 0.3232)  1 Ce 2.79
Cl (0.3700, 0.7500, 0.6768)  1 Ce 2.79
Ce (0.5741, 0.7500, 0.5048)  7 Cl 2.79-2.88
Cl (0.1610, 0.5421, 0.9198)  2 Ce 2.86-2.88
Cl (0.1610, 0.9579, 0.9198)  2 Ce 2.86-2.88
K (0.9563, 0.0030, 0.3275)  8 Cl 3.21-3.45
Cl (0.3390, 0.5421, 0.4198)  2 Ce 2.86-2.88
Cl (0.8390, 0.0421, 0.0802)  2 Ce 2.86-2.88
Cl (0.3324, 0.2500, 0.7025)  1 Ce 2.81
K (0.4563, 0.9970, 0.1725)  8 Cl 3.21-3.45
K (0.4563, 0.5030, 0.1725)  8 Cl 3.21-3.45
K (0.5437, 0.0030, 0.8275)  8 Cl 3.21-3.45
Cl (0.6676, 0.7500, 0.2975)  1 Ce 2.81
Ce (0.4259, 0.2500, 0.4952)  7 Cl 2.79-2.88
K (0.0437, 0.9970, 0.6725)  8 Cl 3.21-3.45
Cl (0.3390, 0.9579, 0.4198)  2 Ce 2.86-2.88
Cl (0.8324, 0.7500, 0.7975)  1 Ce 2.81
K (0.0437, 0.5030, 0.6725)  8 Cl 3.21-3.45

Properties
Spin magnetization = 0.125 μB/atom
Formation energy without anion corrections = -2.133 eV per atom
Space group = No. 62


Among the records above, which one has the highest spin magnetization? K2CeCl5